# Cu4Ag, optimized geometry, DFT GGA-PBE
data_Cu4Ag
_chemical_formula_sum 'Cu8 Ag2'
_cell_length_a 9.0880
_cell_length_b 9.0880
_cell_length_c 5.4091
_cell_angle_alpha 99.04
_cell_angle_beta 99.04
_cell_angle_gamma 17.23
_space_group_name_H-M_alt 'P 1'
_space_group_IT_number 1
loop_
_space_group_symop_operation_xyz
'x,y,z'
loop_
_atom_site_label
_atom_site_fract_x
_atom_site_fract_y
_atom_site_fract_z
Cu1 0.0000 0.0000 0.0000
Cu2 0.0000 0.0000 0.5000
Cu3 0.1935 0.1935 0.5941
Cu4 0.4073 0.4073 0.2129
Cu5 0.4085 0.4085 0.6920
Cu6 0.5915 0.5915 0.3080
Cu7 0.5927 0.5927 0.7871
Cu8 0.8065 0.8065 0.4059
Ag1 0.1942 0.1942 0.1066
Ag2 0.8058 0.8058 0.8934
# ΔH_f (0 K) = 0.067 eV per atom
# Energy relative to the lowest polymorph listed for this composition = 0.11 eV per formula unit